Computed, not measured: Na2Mg3Hg2 after structural relaxation at the PBE level of DFT.

Cell: 5.9504 5.9504 7.6975 Å, 110.93 110.93 45.77°
Last column: nearest neighbours and their distance in Å.
Positions (direct):
Na 0.1517 0.1517 0.2893  4 Hg 3.16-3.34, 4 Mg 3.47-3.52
Na 0.8483 0.8483 0.7107  4 Hg 3.16-3.34, 4 Mg 3.47-3.52
Mg 0.3727 0.3727 0.0583  3 Hg 2.89-2.93, 1 Mg 3.13
Mg 0.5000 0.5000 0.5000  4 Hg 2.91, 2 Mg 3.13
Mg 0.6273 0.6273 0.9417  3 Hg 2.89-2.93, 1 Mg 3.13
Hg 0.1381 0.1381 0.7151  5 Mg 2.89-2.93, 1 Na 3.16
Hg 0.8619 0.8619 0.2849  5 Mg 2.89-2.93, 1 Na 3.16

Values from the calculation:
- SG: C2/m
- Spin magnetization: 0.00 μB per cell
- Calculated volume: 180.0 Å³ per cell
- ΔE_f: -0.143 eV per atom